Density functional theory data (PBE) for crystalline Tm4CuPd7 at its relaxed geometry.

Geometry as CIF:
```
data_Tm4CuPd7
_cell_length_a 5.0529
_cell_length_b 9.3002
_cell_length_c 5.8780
_cell_angle_alpha 80.15
_cell_angle_beta 64.54
_cell_angle_gamma 74.24
_symmetry_space_group_name_H-M 'P 1'
_symmetry_Int_Tables_number 1
_symmetry_space_group_name_Hall 'P 1'
loop_
_atom_site_label
_atom_site_type_symbol
_atom_site_fract_x
_atom_site_fract_y
_atom_site_fract_z
Tm1 Tm 0.2108 0.3614 0.2170
Pd1 Pd 0.3697 0.5149 0.7457
Tm2 Tm 0.4077 0.7884 0.3962
Pd2 Pd 0.0823 0.7002 0.1353
Cu1 Cu 0.0000 0.0000 0.0000
Pd3 Pd 0.7973 0.9112 0.4943
Pd4 Pd 0.9177 0.2998 0.8647
Tm3 Tm 0.7892 0.6386 0.7830
Pd5 Pd 0.2027 0.0888 0.5057
Pd6 Pd 0.6303 0.4851 0.2543
Pd7 Pd 0.5000 0.0000 0.0000
Tm4 Tm 0.5923 0.2116 0.6038
```

Calculated values
- energy of formation from the pure elements (kJ per mole of atoms) = -59.7
- symmetry = No. 12
- mass density (Mg/m³) = 10.29
- DFT total energy (eV/atom) = -5.48